Entry 1:
The following is a DFT calculation (PBE) of a relaxed structure of Pa6OsSe5.

Its crystal system is monoclinic. For the spin magnetization, the calculation gives 0.0000 μB per atom. The value obtained for the uncorrected formation energy is -12.9 eV/f.u.

Cell lengths 7.074, 7.074, 7.046 Å; angles 99.70, 99.70, 119.73 degrees
Sites, in units of the cell vectors:
Pa (0.078, 0.396, 0.737)
Pa (0.235, 0.235, 0.254)
Pa (0.396, 0.078, 0.737)
Pa (0.604, 0.922, 0.263)
Pa (0.765, 0.765, 0.746)
Pa (0.922, 0.604, 0.263)
Os (0.000, 0.000, 0.500)
Se (0.175, 0.825, 0.000)
Se (0.335, 0.665, 0.500)
Se (0.500, 0.500, 0.000)
Se (0.665, 0.335, 0.500)
Se (0.825, 0.175, 0.000)

Entry 2:
The following is a DFT calculation (PBE) of a relaxed structure of PaOsSe.

Its crystal system is tetragonal. For the spin magnetization, the calculation gives 0.0000 μB per atom. The value obtained for the uncorrected formation energy is -2.0 eV/f.u.

Cell lengths 8.912, 8.912, 8.912 Å; angles 154.78, 154.78, 35.96 degrees
Sites, in units of the cell vectors:
Pa (0.120, 0.120, 0.000)
Pa (0.880, 0.880, 0.000)
Os (0.000, 0.500, 0.500)
Os (0.500, 0.000, 0.500)
Se (0.311, 0.311, 0.000)
Se (0.689, 0.689, 0.000)

What did the first record say?
The following is a DFT calculation (PBE) of a relaxed structure of Pa6OsSe5.

Its crystal system is monoclinic. For the spin magnetization, the calculation gives 0.0000 μB per atom. The value obtained for the uncorrected formation energy is -12.9 eV/f.u.

Cell lengths 7.074, 7.074, 7.046 Å; angles 99.70, 99.70, 119.73 degrees
Sites, in units of the cell vectors:
Pa (0.078, 0.396, 0.737)
Pa (0.235, 0.235, 0.254)
Pa (0.396, 0.078, 0.737)
Pa (0.604, 0.922, 0.263)
Pa (0.765, 0.765, 0.746)
Pa (0.922, 0.604, 0.263)
Os (0.000, 0.000, 0.500)
Se (0.175, 0.825, 0.000)
Se (0.335, 0.665, 0.500)
Se (0.500, 0.500, 0.000)
Se (0.665, 0.335, 0.500)
Se (0.825, 0.175, 0.000)

Number 1 is which compound?
Pa6OsSe5